1:
Density functional theory data (PBE) for a geometry-optimized CaTcCl structure.

Output
The value obtained for the total magnetization is 5.70 Bohr magnetons per cell.

Cell: 3.2427 3.2427 13.0410 Å, 90.00 90.00 90.00°
Last column: nearest neighbours and their distance in Å.
Space group I4mm (No. 107)
Symmetry-distinct sites (fractional):
Ca (0.0000, 0.0000, 0.0000) x2  4 Cl 2.84, 4 Tc 3.17
Tc (0.0000, 0.0000, 0.6681) x2  4 Ca 3.17, 4 Tc 3.24, 4 Cl 3.51
Cl (0.0000, 0.0000, 0.3719) x2  4 Ca 2.84


2:
Density functional theory data (PBE) for a geometry-optimized CaTcCl structure.

Output
The value obtained for the total magnetization is 8.24 Bohr magnetons per cell.

Cell: 6.3389 6.3389 6.3389 Å, 90.00 90.00 90.00°
Last column: nearest neighbours and their distance in Å.
Space group F-43m (No. 216)
Symmetry-distinct sites (fractional):
Ca (0.0000, 0.0000, 0.0000) x4  4 Cl 2.74
Tc (0.0000, 0.0000, 0.5000) x4  4 Cl 2.74
Cl (0.2500, 0.2500, 0.7500) x4  4 Tc 2.74, 4 Ca 2.74


3:
Density functional theory data (PBE) for a geometry-optimized CaTcCl structure.

Output
The value obtained for the total magnetization is 1.72 Bohr magnetons per cell.

Cell: 4.2281 4.2281 3.9630 Å, 90.00 90.00 120.00°
Last column: nearest neighbours and their distance in Å.
Space group P3m1 (No. 156)
Symmetry-distinct sites (fractional):
Ca (0.0000, 0.0000, 0.0000) x1  6 Cl 3.14-3.15, 6 Tc 3.14
Tc (0.6667, 0.3333, 0.5003) x1  3 Cl 2.44
Cl (0.3333, 0.6667, 0.5014) x1  3 Tc 2.44


1 is preferred energetically. Next in line: 0.137 eV/atom higher.